Record 1
Density functional theory data (PBE) for a geometry-optimized MgPt2I structure.

The structure in CIF format:
```
data_MgPt2I
_chemical_formula_sum 'Mg4 Pt8 I4'
_symmetry_space_group_name_H-M 'I -4 2 d'
_symmetry_Int_Tables_number 122
_symmetry_space_group_name_Hall 'I -4 2bw'
_cell_length_a 4.1207
_cell_length_b 4.1207
_cell_length_c 19.0053
_cell_angle_alpha 90.00
_cell_angle_beta 90.00
_cell_angle_gamma 90.00
loop_
_atom_site_label
_atom_site_type_symbol
_atom_site_fract_x
_atom_site_fract_y
_atom_site_fract_z
_atom_site_occupancy
Mg1 Mg 0.0000 0.0000 0.0000 1
Pt1 Pt 0.2323 0.2500 0.1250 1
I1 I 0.0000 0.0000 0.5000 1
```

- Calculated volume: 322.71 Å³/cell
- Raw formation energy: 0.004 eV per atom
- Total moment: 0.000 μB per atom
- Energy relative to the lowest polymorph listed for this composition: 0.000 eV/atom
- D(E_F): 7.0 states/eV/cell



Record 2
Density functional theory data (PBE) for a geometry-optimized AgHgPt2 structure.

The structure in CIF format:
```
data_AgHgPt2
_chemical_formula_sum 'Ag1 Hg1 Pt2'
_symmetry_space_group_name_H-M 'P 4 m m'
_symmetry_Int_Tables_number 99
_symmetry_space_group_name_Hall 'P 4 -2'
_cell_length_a 2.8877
_cell_length_b 2.8877
_cell_length_c 8.3645
_cell_angle_alpha 90.00
_cell_angle_beta 90.00
_cell_angle_gamma 90.00
loop_
_atom_site_label
_atom_site_type_symbol
_atom_site_fract_x
_atom_site_fract_y
_atom_site_fract_z
_atom_site_occupancy
Ag1 Ag 0.0000 0.0000 0.0000 1
Hg1 Hg 0.5000 0.5000 0.2732 1
Pt1 Pt 0.0000 0.0000 0.5247 1
Pt2 Pt 0.5000 0.5000 0.7568 1
```

- Calculated volume: 69.75 Å³/cell
- E_form: 5.61 kJ per mole of atoms
- Total moment: 0.000 μB per atom
- D(E_F): 2.2 states/eV/cell



Record 3
Density functional theory data (PBE) for a geometry-optimized SrSc2W structure.

The structure in CIF format:
```
data_SrSc2W
_chemical_formula_sum 'Sr1 Sc2 W1'
_symmetry_space_group_name_H-M 'P 4 m m'
_symmetry_Int_Tables_number 99
_symmetry_space_group_name_Hall 'P 4 -2'
_cell_length_a 3.6684
_cell_length_b 3.6684
_cell_length_c 7.9602
_cell_angle_alpha 90.00
_cell_angle_beta 90.00
_cell_angle_gamma 90.00
loop_
_atom_site_label
_atom_site_type_symbol
_atom_site_fract_x
_atom_site_fract_y
_atom_site_fract_z
_atom_site_occupancy
Sr1 Sr 0.0000 0.0000 0.0000 1
Sc1 Sc 0.0000 0.0000 0.4114 1
Sc2 Sc 0.5000 0.5000 0.6313 1
W1 W 0.5000 0.5000 0.2842 1
```

- Calculated volume: 107.12 Å³/cell
- E_form: 50.77 kJ per mole of atoms
- Total moment: 0.000 μB per atom
- Energy relative to the lowest polymorph listed for this composition: 0.163 eV/atom
- D(E_F): 4.6 states/eV/cell



Record 4
Density functional theory data (PBE) for a geometry-optimized Rb2TiIBr6 structure.

The structure in CIF format:
```
data_Rb2TiIBr6
_chemical_formula_sum 'Rb4 Ti2 I2 Br12'
_symmetry_space_group_name_H-M 'I 4/m m m'
_symmetry_Int_Tables_number 139
_symmetry_space_group_name_Hall '-I 4 2'
_cell_length_a 8.2657
_cell_length_b 8.2657
_cell_length_c 12.3373
_cell_angle_alpha 90.00
_cell_angle_beta 90.00
_cell_angle_gamma 90.00
loop_
_atom_site_label
_atom_site_type_symbol
_atom_site_fract_x
_atom_site_fract_y
_atom_site_fract_z
_atom_site_occupancy
Rb1 Rb 0.0000 0.5000 0.2500 1
Ti1 Ti 0.0000 0.0000 0.0000 1
I1 I 0.0000 0.0000 0.5000 1
Br1 Br 0.0000 0.0000 0.2045 1
Br2 Br 0.2171 0.2171 0.0000 1
```

- Calculated volume: 842.91 Å³/cell
- Raw formation energy: -1.133 eV per atom
- Total moment: 0.100 μB per atom
- Energy relative to the lowest polymorph listed for this composition: 0.085 eV/atom
- D(E_F): 9.6 states/eV/cell



Record 5
Density functional theory data (PBE) for a geometry-optimized BaNaGaSn2 structure.

The structure in CIF format:
```
data_BaNaGaSn2
_chemical_formula_sum 'Ba2 Na2 Ga2 Sn4'
_symmetry_space_group_name_H-M 'I -4 m 2'
_symmetry_Int_Tables_number 119
_symmetry_space_group_name_Hall 'I -4 -2'
_cell_length_a 4.9311
_cell_length_b 4.9311
_cell_length_c 12.6004
_cell_angle_alpha 90.00
_cell_angle_beta 90.00
_cell_angle_gamma 90.00
loop_
_atom_site_label
_atom_site_type_symbol
_atom_site_fract_x
_atom_site_fract_y
_atom_site_fract_z
_atom_site_occupancy
Ba1 Ba 0.0000 0.0000 0.0000 1
Na1 Na 0.0000 0.5000 0.2500 1
Ga1 Ga 0.0000 0.5000 0.7500 1
Sn1 Sn 0.0000 0.0000 0.3857 1
```

- Calculated volume: 306.39 Å³/cell
- E_form: -33.45 kJ per mole of atoms
- Total moment: 0.000 μB per atom
- D(E_F): 4.6 states/eV/cell



Record 6
Density functional theory data (PBE) for a geometry-optimized GdHo2Cl structure.

The structure in CIF format:
```
data_GdHo2Cl
_chemical_formula_sum 'Gd3 Ho6 Cl3'
_symmetry_space_group_name_H-M 'R -3 m'
_symmetry_Int_Tables_number 166
_symmetry_space_group_name_Hall '-R 3 2"'
_cell_length_a 3.4360
_cell_length_b 3.4360
_cell_length_c 33.1915
_cell_angle_alpha 90.00
_cell_angle_beta 90.00
_cell_angle_gamma 120.00
loop_
_atom_site_label
_atom_site_type_symbol
_atom_site_fract_x
_atom_site_fract_y
_atom_site_fract_z
_atom_site_occupancy
Gd1 Gd 0.0000 0.0000 0.0000 1
Ho1 Ho 0.0000 0.0000 0.1002 1
Cl1 Cl 0.0000 0.0000 0.5000 1
```

- Calculated volume: 339.36 Å³/cell
- Raw formation energy: -0.382 eV per atom
- Total moment: 2.090 μB per atom
- D(E_F): 14.9 states/eV/cell